No. 1
Below is Y7Er3Th after structural relaxation, with properties calculated at the PBE level.

Cell: 8.6231 7.0690 7.0690 Å, 120.00 90.00 90.00°
Positions (direct):
Er1 0.7811 0.4983 0.9967
Y1 0.1189 0.1696 0.3392
Y2 0.4506 0.8324 0.6648
Y3 0.4506 0.3352 0.1676
Y4 0.1189 0.6608 0.8304
Y5 0.1189 0.1696 0.8304
Th1 0.4513 0.3333 0.6667
Y6 0.4506 0.8324 0.1676
Er2 0.7811 0.0033 0.5017
Er3 0.7811 0.4983 0.5017
Y7 0.1120 0.6667 0.3333

Properties
ΔE to the lowest computed polymorph = 47 meV per atom
ΔE_f = 0.198 eV per atom

=====

No. 2
Below is Y3Er2Th after structural relaxation, with properties calculated at the PBE level.

Cell: 5.0347 10.6909 20.4673 Å, 21.75 82.94 76.38°
Positions (direct):
Y1 0.7920 0.9568 0.4592
Y2 0.2080 0.0432 0.5408
Y3 0.7063 0.5477 0.0396
Y4 0.2937 0.4523 0.9604
Th1 0.4601 0.2837 0.7960
Er1 0.1220 0.6344 0.1217
Er2 0.8780 0.3656 0.8783
Th2 0.5399 0.7163 0.2040
Y5 0.0408 0.2093 0.7091
Er3 0.3763 0.8696 0.3777
Y6 0.9592 0.7907 0.2909
Er4 0.6237 0.1304 0.6223

Properties
ΔE to the lowest computed polymorph = 0 meV per atom
ΔE_f = 0.039 eV per atom

=====

No. 3
Below is YEr4Th3 after structural relaxation, with properties calculated at the PBE level.

Cell: 5.0122 10.0370 10.0521 Å, 90.00 90.00 90.00°
Positions (direct):
Er1 0.5644 0.8750 0.2487
Er2 0.0644 0.8723 0.0000
Th1 0.0644 0.3737 0.5000
Th2 0.5644 0.3753 0.7472
Th3 0.0644 0.6247 0.2472
Th4 0.0644 0.6247 0.7528
Er3 0.0644 0.1250 0.7487
Y1 0.0644 0.3751 0.0000
Th5 0.5644 0.3753 0.2528
Th6 0.5644 0.6263 0.0000
Er4 0.0644 0.8761 0.5000
Er5 0.5644 0.1239 0.0000
Er6 0.0644 0.1250 0.2513
Er7 0.5644 0.8750 0.7513
Y2 0.5644 0.6249 0.5000
Er8 0.5644 0.1277 0.5000

Properties
ΔE_f = 0.035 eV per atom

=====

No. 4
Below is Y3Er3Th2 after structural relaxation, with properties calculated at the PBE level.

Cell: 6.3307 6.3307 6.3307 Å, 90.04 90.04 89.96°
Positions (direct):
Y1 0.7506 0.5000 0.7506
Th1 0.2464 0.2464 0.7536
Th2 0.7536 0.7536 0.2464
Y2 0.5000 0.2494 0.2494
Er1 0.0000 0.2493 0.2493
Er2 0.7507 0.0000 0.7507
Y3 0.2494 0.7506 0.5000
Er3 0.2493 0.7507 0.0000

Properties
ΔE to the lowest computed polymorph = 178 meV per atom
ΔE_f = 0.203 eV per atom

=====

No. 5
Below is YEr5Th4 after structural relaxation, with properties calculated at the PBE level.

Cell: 8.5372 11.6835 6.6883 Å, 90.00 90.00 90.00°
Positions (direct):
Er1 0.1844 0.7830 0.7590
Er2 0.1844 0.7830 0.2410
Th1 0.4676 0.6457 0.0000
Er3 0.8156 0.2830 0.2590
Er4 0.1844 0.2170 0.7590
Er5 0.7926 0.5000 0.0000
Er6 0.1844 0.2170 0.2410
Th2 0.5324 0.1457 0.5000
Th3 0.1395 0.5000 0.2483
Th4 0.1395 0.5000 0.7517
Er7 0.8156 0.7170 0.2590
Y1 0.4565 0.0000 0.0000
Y2 0.5435 0.5000 0.5000
Er8 0.8156 0.2830 0.7410
Er9 0.2074 0.0000 0.5000
Th5 0.4676 0.3543 0.0000
Th6 0.8605 0.0000 0.7483
Er10 0.8156 0.7170 0.7410
Th7 0.5324 0.8543 0.5000
Th8 0.8605 0.0000 0.2517

Properties
ΔE_f = 0.390 eV per atom

=====

No. 6
Below is YEr4Th2 after structural relaxation, with properties calculated at the PBE level.

Cell: 3.4560 8.4903 8.8950 Å, 120.07 81.76 98.69°
Positions (direct):
Y1 0.0000 0.0000 0.0000
Er1 0.9523 0.1632 0.7161
Th1 0.4089 0.4173 0.1347
Er2 0.6351 0.2738 0.4225
Er3 0.0477 0.8368 0.2839
Th2 0.5911 0.5827 0.8653
Er4 0.3649 0.7262 0.5775

Properties
ΔE to the lowest computed polymorph = 0 meV per atom
ΔE_f = 0.115 eV per atom

=====

No. 7
Below is Y6Er2Th3 after structural relaxation, with properties calculated at the PBE level.

Cell: 5.9885 6.3217 11.9568 Å, 79.44 67.24 61.73°
Positions (direct):
Y1 0.8005 0.6825 0.2709
Th1 0.6754 0.6492 0.0000
Er1 0.1469 0.7061 0.5000
Y2 0.1995 0.3175 0.7291
Er2 0.8531 0.2939 0.5000
Y3 0.1675 0.0000 0.2338
Y4 0.8325 0.0000 0.7662
Th2 0.0000 0.0000 0.0000
Y5 0.5169 0.6825 0.7291
Th3 0.3246 0.3508 0.0000
Y6 0.4831 0.3175 0.2709

Properties
ΔE_f = 0.181 eV per atom

=====

No. 8
Below is YEr5Th2 after structural relaxation, with properties calculated at the PBE level.

Cell: 3.5097 8.7687 8.7687 Å, 78.38 78.46 78.46°
Positions (direct):
Er1 0.6305 0.6026 0.1363
Er2 0.3695 0.8637 0.3974
Er3 0.6305 0.1363 0.6026
Th1 0.7432 0.7568 0.7568
Er4 0.3695 0.3974 0.8637
Y1 0.0000 0.0000 0.0000
Er5 0.0000 0.5000 0.5000
Th2 0.2568 0.2432 0.2432

Properties
ΔE_f = 0.094 eV per atom